# Pm2SmGe3Rh4

A relaxed structure of Pm2SmGe3Rh4 (PBE, the Alexandria database).

Structure (POSCAR):
```
Pm2SmGe3Rh4
1.0
4.2026 0.0000 0.0000
0.0000 4.2026 0.0000
0.0000 0.0000 11.2503
Rh Ge Pm Sm
4 3 2 1
Direct
0.0000 0.5000 0.3381
0.0000 0.0000 0.0000
0.5000 0.0000 0.6619
0.5000 0.5000 0.0000
0.0000 0.0000 0.5000
0.0000 0.5000 0.1203
0.5000 0.0000 0.8797
0.0000 0.5000 0.7738
0.5000 0.0000 0.2262
0.5000 0.5000 0.5000
```

Output
Formation enthalpy at 0 K: -8.48 eV per formula unit

# K3SbS3

A relaxed structure of K3SbS3 (PBE, the Alexandria database).

Structure (POSCAR):
```
K3SbS3
1.0
8.3387 -3.1775 -3.0554
-2.9429 9.3413 1.9900
-2.8434 2.6674 9.2022
K S Sb
6 6 2
Direct
0.0000 0.7949 0.2051
0.0000 0.2051 0.7949
0.5000 0.2187 0.7813
0.5000 0.7813 0.2187
0.5404 0.2298 0.2298
0.4596 0.7702 0.7702
0.6811 0.5438 0.9269
0.1986 0.9603 0.9603
0.8014 0.0397 0.0397
0.6811 0.9269 0.5438
0.3189 0.4562 0.0731
0.3189 0.0731 0.4562
0.1277 0.2449 0.2449
0.8723 0.7551 0.7551
```

Output
Energy relative to the elements, uncorrected: -0.923 eV per atom